Record 1
DFT (PBE-GGA) results for an optimized crystal structure of LaZrSN2.

Properties
N(E_F), states/eV/f.u.: 2.13
Formation energy without anion corrections, kcal/mol of atoms: -22.958
V, Å³/cell: 91

Geometry as POSCAR:
```
LaZrSN2
1.0
4.2419 0.0000 0.0000
0.0000 4.2419 0.0000
0.0000 0.0000 5.0415
La Zr S N
1 1 1 2
direct
0.0000 0.0000 0.0000
0.5000 0.5000 0.5000
0.5000 0.5000 0.0000
0.0000 0.5000 0.5000
0.5000 0.0000 0.5000
```

***

Record 2
DFT (PBE-GGA) results for an optimized crystal structure of ZnAs2Br.

Properties
N(E_F), states/eV/f.u.: 2.32
Formation energy without anion corrections, kcal/mol of atoms: 12.700
V, Å³/cell: 82

Geometry as POSCAR:
```
ZnAs2Br
1.0
0.0000 3.4450 3.4450
3.4450 0.0000 3.4450
3.4450 3.4450 0.0000
Zn As Br
1 2 1
direct
0.0000 0.0000 0.0000
0.2500 0.2500 0.2500
0.7500 0.7500 0.7500
0.5000 0.5000 0.5000
```

***

Record 3
DFT (PBE-GGA) results for an optimized crystal structure of HfScCd6.

Properties
Raw total energy, eV per atom: -2.807
N(E_F), states/eV/f.u.: 7.69
V, Å³/cell: 172

Geometry as POSCAR:
```
HfScCd6
1.0
4.3458 0.0000 0.0000
0.0000 4.3458 0.0000
0.0000 0.0000 9.1310
Hf Sc Cd
1 1 6
direct
0.0000 0.0000 0.0000
0.0000 0.0000 0.5000
0.0000 0.5000 0.2481
0.0000 0.5000 0.7519
0.5000 0.0000 0.2481
0.5000 0.0000 0.7519
0.5000 0.5000 0.0000
0.5000 0.5000 0.5000
```

***

Record 4
DFT (PBE-GGA) results for an optimized crystal structure of AcMg2Hg.

Properties
Raw total energy, eV per atom: -2.051
N(E_F), states/eV/f.u.: 3.62
V, Å³/cell: 116

Geometry as POSCAR:
```
AcMg2Hg
1.0
2.4003 1.3858 5.8048
-2.4003 1.3858 5.8048
0.0000 -2.7717 5.8048
Ac Mg Hg
1 2 1
direct
0.0000 0.0000 0.0000
0.2083 0.2083 0.2083
0.7917 0.7917 0.7917
0.5000 0.5000 0.5000
```

***

Record 5
DFT (PBE-GGA) results for an optimized crystal structure of ScAu5.

Properties
Raw total energy, eV per atom: -4.185
N(E_F), states/eV/f.u.: 2.27
V, Å³/cell: 110

Geometry as POSCAR:
```
ScAu5
1.0
4.6895 -2.0329 0.0000
4.6895 2.0329 0.0000
-1.7644 0.0000 5.7920
Sc Au
1 5
direct
0.0000 0.0000 0.0000
0.0000 0.0000 0.5000
0.3325 0.3325 0.1634
0.3398 0.3398 0.6713
0.6602 0.6602 0.3287
0.6675 0.6675 0.8366
```

***

Record 6
DFT (PBE-GGA) results for an optimized crystal structure of Ca2MnIrI.

Properties
N(E_F), states/eV/f.u.: 3.73
Formation energy without anion corrections, kcal/mol of atoms: 19.994
V, Å³/cell: 151

Geometry as POSCAR:
```
Ca2MnIrI
1.0
5.6577 0.0000 0.0000
0.0000 5.6577 0.0000
0.0000 0.0000 4.7118
Ca Mn Ir I
2 1 1 1
direct
0.0000 0.5000 0.0000
0.5000 0.0000 0.0000
0.0000 0.0000 0.5000
0.5000 0.5000 0.5000
0.0000 0.0000 0.0000
```

***

Record 7
DFT (PBE-GGA) results for an optimized crystal structure of CsOF3.

Properties
N(E_F), states/eV/f.u.: 0.00
Formation energy without anion corrections, kcal/mol of atoms: -24.030
V, Å³/cell: 203

Geometry as POSCAR:
```
CsOF3
1.0
3.7085 2.1411 4.2572
-3.7085 2.1411 4.2572
0.0000 -4.2822 4.2572
Cs O F
2 2 6
direct
0.0000 0.0000 0.0000
0.5000 0.5000 0.5000
0.2500 0.2500 0.2500
0.7500 0.7500 0.7500
0.0251 0.2500 0.4749
0.2500 0.4749 0.0251
0.4749 0.0251 0.2500
0.5251 0.9749 0.7500
0.7500 0.5251 0.9749
0.9749 0.7500 0.5251
```

***

Record 8
DFT (PBE-GGA) results for an optimized crystal structure of Hf2H2Ir.

Properties
Raw total energy, eV per atom: -7.776
N(E_F), states/eV/f.u.: 4.58
V, Å³/cell: 61

Geometry as POSCAR:
```
Hf2H2Ir
1.0
-1.5660 1.5660 6.2454
1.5660 -1.5660 6.2454
1.5660 1.5660 -6.2454
Hf H Ir
2 2 1
direct
0.1406 0.1406 0.0000
0.8594 0.8594 0.0000
0.2500 0.7500 0.5000
0.7500 0.2500 0.5000
0.5000 0.5000 0.0000
```

***

Question: Which formula does entry 3 have?
Answer: HfScCd6

***

Question: Which value of N(E_F) does entry 6 give?
Answer: 3.73 states/eV/f.u.

***

Question: Which of these has the lowest V?
Answer: Hf2H2Ir